Computed, not measured: a relaxed PuPSe crystal at the GGA-PBE level of DFT.

Output
E_form (uncorrected): -926.5 meV/atom
N(E_F): 17.067 states/eV/cell
size of the total moment: 1.566 μB per atom
energy: -8.67 eV per atom

Unit cell a=3.916 b=4.227 c=10.951 alpha=102.27 beta=90.00 gamma=117.60
Last column: magnetic moment on the atom in μB.
Sites, in units of the cell vectors:
Se (0.843, 0.687, 0.324)  -0.18
Se (0.157, 0.313, 0.676)  -0.18
Pu (0.115, 0.229, 0.182)  4.91
Pu (0.885, 0.771, 0.818)  4.91
P (0.636, 0.272, 0.980)  -0.09
P (0.364, 0.728, 0.020)  -0.09